No. 1
GdTcMoRu, relaxed, DFT PBE-GGA; space-group type = F-43m, No. 216; magnetic moment = 6.9 μB/cell; electronic total energy = -11.0526 eV/atom; formation energy from the elements = 0.0858 eV/atom
1.0
0.0000 3.2523 3.2523
3.2523 0.0000 3.2523
3.2523 3.2523 0.0000
Gd Tc Mo Ru
1 1 1 1
Cartesian
0.0000 0.0000 0.0000
1.6261 1.6261 1.6261
3.2523 3.2523 3.2523
4.8784 4.8784 4.8784

No. 2
GdMoS2, relaxed, DFT PBE-GGA; space-group type = R-3m, No. 166; magnetic moment = 7.8 μB/cell; electronic total energy = -8.8106 eV/atom; formation energy without anion corrections = -0.519 eV/atom
1.0
1.6643 0.9609 8.6445
-1.6643 0.9609 8.6445
0.0000 -1.9218 8.6445
Gd Mo S
1 1 2
Cartesian
0.0000 0.0000 0.0000
0.0000 0.0000 12.9667
0.0000 0.0000 2.7669
0.0000 0.0000 23.1665

Please write out number 2 again, unchanged.
GdMoS2, relaxed, DFT PBE-GGA; space-group type = R-3m, No. 166; magnetic moment = 7.8 μB/cell; electronic total energy = -8.8106 eV/atom; formation energy without anion corrections = -0.519 eV/atom
1.0
1.6643 0.9609 8.6445
-1.6643 0.9609 8.6445
0.0000 -1.9218 8.6445
Gd Mo S
1 1 2
Cartesian
0.0000 0.0000 0.0000
0.0000 0.0000 12.9667
0.0000 0.0000 2.7669
0.0000 0.0000 23.1665

> Look up the electronic total energy of the second one.

-8.8106 eV/atom

What did the first record say?
GdTcMoRu, relaxed, DFT PBE-GGA; space-group type = F-43m, No. 216; magnetic moment = 6.9 μB/cell; electronic total energy = -11.0526 eV/atom; formation energy from the elements = 0.0858 eV/atom
1.0
0.0000 3.2523 3.2523
3.2523 0.0000 3.2523
3.2523 3.2523 0.0000
Gd Tc Mo Ru
1 1 1 1
Cartesian
0.0000 0.0000 0.0000
1.6261 1.6261 1.6261
3.2523 3.2523 3.2523
4.8784 4.8784 4.8784